(1)
This record from Alexandria via LeMat-Bulk describes a relaxed structure of Ca2YH. The functional is PBE-GGA.

Cell and atoms, written as POSCAR:
```
Ca2YH
1.0
8.045 0.000 0.000
0.000 8.045 0.000
0.000 0.000 8.045
Ca Y H
8 4 4
Cartesian
2.011 2.011 2.011
2.011 2.011 6.034
2.011 6.034 2.011
2.011 6.034 6.034
6.034 2.011 2.011
6.034 2.011 6.034
6.034 6.034 2.011
6.034 6.034 6.034
0.000 0.000 0.000
0.000 4.023 4.023
4.023 0.000 4.023
4.023 4.023 0.000
0.000 0.000 4.023
0.000 4.023 0.000
4.023 0.000 0.000
4.023 4.023 4.023
```

Summary:
As for the total DFT energy (no corrections): -2.686 eV per atom. As for the density of states at the Fermi level: 12.04 states/eV per cell. The energy above the most stable polymorph in this dataset is 299 kJ/mol of formula units. As for the space group: No. 225. The volume comes out at 32.55 A^3/atom. The spin magnetization is 0.000 μB/atom.



(2)
This record from Alexandria via LeMat-Bulk describes a relaxed structure of CaY2ZnH. The functional is PBE-GGA.

Cell and atoms, written as POSCAR:
```
CaY2ZnH
1.0
4.806 0.000 0.000
0.000 4.806 0.000
0.000 0.000 4.893
Ca Y Zn H
1 2 1 1
Cartesian
0.000 0.000 0.000
0.000 2.403 2.446
2.403 0.000 2.446
2.403 2.403 0.000
0.000 0.000 2.446
```

Summary:
As for the total DFT energy (no corrections): -4.030 eV per atom. As for the density of states at the Fermi level: 5.64 states/eV per cell. As for the space group: No. 123. The volume comes out at 22.60 A^3/atom. The spin magnetization is 0.244 μB/atom.



(3)
This record from Alexandria via LeMat-Bulk describes a relaxed structure of Ca2YZnH. The functional is PBE-GGA.

Cell and atoms, written as POSCAR:
```
Ca2YZnH
1.0
4.839 0.000 0.000
0.000 4.839 0.000
0.000 0.000 4.978
Ca Y Zn H
2 1 1 1
Cartesian
0.000 2.419 0.000
2.419 0.000 0.000
0.000 0.000 2.489
2.419 2.419 2.489
0.000 0.000 0.000
```

Summary:
As for the total DFT energy (no corrections): -3.132 eV per atom. As for the density of states at the Fermi level: 5.14 states/eV per cell. As for the space group: No. 123. The volume comes out at 23.31 A^3/atom. The spin magnetization is 0.000 μB/atom.



(4)
This record from Alexandria via LeMat-Bulk describes a relaxed structure of CaYZrH2. The functional is PBE-GGA.

Cell and atoms, written as POSCAR:
```
CaYZrH2
1.0
4.313 0.000 0.000
0.000 4.313 0.000
0.000 0.000 6.526
Ca Y Zr H
1 1 1 2
Cartesian
0.000 0.000 0.000
2.157 2.157 3.263
0.000 0.000 3.263
0.000 2.157 0.000
2.157 0.000 0.000
```

Summary:
As for the total DFT energy (no corrections): -4.055 eV per atom. As for the density of states at the Fermi level: 4.81 states/eV per cell. As for the space group: No. 123. The volume comes out at 24.28 A^3/atom. The spin magnetization is 0.421 μB/atom.



(5)
This record from Alexandria via LeMat-Bulk describes a relaxed structure of Ca3ZnH2. The functional is PBE-GGA.

Cell and atoms, written as POSCAR:
```
Ca3ZnH2
1.0
4.468 -5.813 0.000
4.468 5.813 0.000
0.000 0.000 5.122
Ca Zn H
6 2 4
Cartesian
4.468 4.582 3.841
2.642 1.350 3.841
2.642 -1.350 1.280
6.294 1.350 3.841
6.294 -1.350 1.280
4.468 -4.582 1.280
4.468 2.367 1.280
4.468 -2.367 3.841
1.389 0.000 0.000
1.389 0.000 2.561
7.548 0.000 0.000
7.548 0.000 2.561
```

Summary:
As for the total DFT energy (no corrections): -2.668 eV per atom. As for the density of states at the Fermi level: 6.87 states/eV per cell. As for the space group: No. 63. The volume comes out at 22.17 A^3/atom. The spin magnetization is 0.000 μB/atom.



(6)
This record from Alexandria via LeMat-Bulk describes a relaxed structure of Ca2ZnH. The functional is PBE-GGA.

Cell and atoms, written as POSCAR:
```
Ca2ZnH
1.0
3.729 0.000 0.000
-1.864 3.229 0.000
0.000 0.000 22.475
Ca Zn H
6 3 3
Cartesian
0.000 0.000 0.000
0.000 0.000 4.449
0.000 2.153 14.984
0.000 2.153 19.432
1.864 1.076 7.492
1.864 1.076 11.940
0.000 0.000 9.701
0.000 2.153 2.209
1.864 1.076 17.193
0.000 0.000 13.506
0.000 2.153 6.014
1.864 1.076 20.998
```

Summary:
As for the total DFT energy (no corrections): -2.296 eV per atom. As for the density of states at the Fermi level: 7.15 states/eV per cell. The energy above the most stable polymorph in this dataset is 18 kJ/mol of formula units. As for the space group: No. 160. The volume comes out at 22.55 A^3/atom. The spin magnetization is 0.001 μB/atom.



(7)
This record from Alexandria via LeMat-Bulk describes a relaxed structure of Ca3ZnH6. The functional is PBE-GGA.

Cell and atoms, written as POSCAR:
```
Ca3ZnH6
1.0
4.420 -5.888 0.000
4.420 5.888 0.000
0.000 0.000 4.952
Ca Zn H
6 2 12
Cartesian
4.420 4.618 2.476
2.552 1.469 2.544
2.552 -1.469 0.068
6.288 1.469 2.544
6.288 -1.469 0.068
4.420 -4.618 0.000
4.420 2.488 4.832
4.420 -2.488 2.356
2.230 2.160 4.934
1.389 0.017 1.266
1.389 -0.017 3.742
4.420 2.230 1.592
4.420 0.894 4.072
2.230 -2.160 2.458
6.610 2.160 4.934
4.420 -0.894 1.596
4.420 -2.230 4.068
7.451 0.017 1.266
7.451 -0.017 3.742
6.610 -2.160 2.458
```

Summary:
As for the total DFT energy (no corrections): -3.158 eV per atom. As for the space group: No. 36. The volume comes out at 12.89 A^3/atom. The spin magnetization is 0.000 μB/atom.



(8)
This record from Alexandria via LeMat-Bulk describes a relaxed structure of Ca2ZnH6. The functional is PBE-GGA.

Cell and atoms, written as POSCAR:
```
Ca2ZnH6
1.0
4.769 0.000 0.000
0.000 6.138 0.000
-4.233 0.000 6.956
Ca Zn H
4 2 12
Cartesian
-0.086 0.663 1.819
-2.202 2.406 5.297
2.739 3.732 1.659
0.622 5.475 5.137
2.384 0.000 0.000
0.268 3.069 3.478
-3.383 0.866 6.643
-1.267 2.202 3.165
-2.564 4.370 6.546
-0.448 4.837 3.069
-1.523 0.228 5.228
0.593 2.841 1.750
-0.057 3.297 5.206
2.059 5.910 1.728
0.984 1.301 3.887
3.100 1.768 0.409
1.803 3.935 3.790
3.920 5.271 0.313
```

Summary:
As for the total DFT energy (no corrections): -3.157 eV per atom. As for the density of states at the Fermi level: 0.00 states/eV per cell. As for the space group: No. 14. The volume comes out at 11.31 A^3/atom. The spin magnetization is 0.000 μB/atom.



(9)
This record from Alexandria via LeMat-Bulk describes a relaxed structure of CaZn2H. The functional is PBE-GGA.

Cell and atoms, written as POSCAR:
```
CaZn2H
1.0
3.188 0.000 0.000
0.000 3.188 0.000
0.000 0.000 12.202
Ca Zn H
2 4 2
Cartesian
0.000 0.000 0.000
1.594 1.594 6.101
0.000 0.000 3.698
0.000 0.000 8.408
1.594 1.594 2.307
1.594 1.594 9.799
0.000 0.000 5.541
1.594 1.594 11.642
```

Summary:
As for the total DFT energy (no corrections): -2.157 eV per atom. As for the density of states at the Fermi level: 0.72 states/eV per cell. The energy above the most stable polymorph in this dataset is 44 kJ/mol of formula units. As for the space group: No. 107. The volume comes out at 15.50 A^3/atom. The spin magnetization is 0.000 μB/atom.



(10)
This record from Alexandria via LeMat-Bulk describes a relaxed structure of CaZnH2. The functional is PBE-GGA.

Cell and atoms, written as POSCAR:
```
CaZnH2
1.0
4.433 0.000 0.000
0.000 4.433 0.000
0.000 0.000 11.242
Ca Zn H
4 4 8
Cartesian
0.000 0.000 0.000
0.000 2.216 2.810
2.216 0.000 8.431
2.216 2.216 5.621
0.000 0.000 5.621
0.000 2.216 8.431
2.216 0.000 2.810
2.216 2.216 0.000
0.668 1.108 7.026
1.108 2.884 9.836
1.108 3.765 4.216
1.549 1.108 1.405
2.884 3.325 1.405
3.325 0.668 4.216
3.325 1.549 9.836
3.765 3.325 7.026
```

Summary:
As for the total DFT energy (no corrections): -2.495 eV per atom. As for the density of states at the Fermi level: 9.72 states/eV per cell. The energy above the most stable polymorph in this dataset is 26 kJ/mol of formula units. As for the space group: No. 122. The volume comes out at 13.81 A^3/atom. The spin magnetization is 0.000 μB/atom.